[1]
## NbF5 (SCAN)

Data for a crystal of NbF5 relaxed with PBEsol.

Summary:
The formation energy from raw total energies is -3.11 eV/atom.

Lattice parameters (Å, degrees): 8.7497 8.7497 5.1420 86.39 86.39 112.60
With the nearest neighbours (Å) after each atom.
Positions (direct):
1 Nb 0.7408 0.7408 0.7498  4 F 1.86-1.89
2 Nb 0.2592 0.2592 0.2503  4 F 1.86-1.89
3 Nb 0.2023 0.7976 0.0000  4 F 1.86-1.88
4 Nb 0.7976 0.2023 0.0000  4 F 1.86-1.88
5 F 0.4067 0.8332 0.1250  1 Nb 1.86
6 F 0.1668 0.5933 0.8750  1 Nb 1.86
7 F 0.5933 0.1668 0.8750  1 Nb 1.86
8 F 0.8332 0.4067 0.1250  1 Nb 1.86
9 F 0.1301 0.1301 0.5520  1 Nb 1.88
10 F 0.8699 0.8699 0.4480  1 Nb 1.88
11 F 0.3350 0.3350 0.8954  1 Nb 1.89
12 F 0.6650 0.6650 0.1046  1 Nb 1.89
13 F 0.2721 0.4641 0.3483  1 Nb 1.86
14 F 0.5359 0.7279 0.6517  1 Nb 1.86
15 F 0.7279 0.5359 0.6517  1 Nb 1.86
16 F 0.4641 0.2721 0.3483  1 Nb 1.86
17 F 0.0266 0.2179 0.1197  2 Nb 2.09
18 F 0.7821 0.9734 0.8803  2 Nb 2.09
19 F 0.9734 0.7821 0.8803  2 Nb 2.09
20 F 0.2179 0.0266 0.1197  2 Nb 2.09
21 F 0.9243 0.2882 0.6758  1 Nb 1.88
22 F 0.7118 0.0757 0.3241  1 Nb 1.88
23 F 0.0757 0.7118 0.3241  1 Nb 1.88
24 F 0.2882 0.9243 0.6758  1 Nb 1.88

=====

[2]
## HfFeO3 (SCAN)

Data for a crystal of HfFeO3 relaxed with PBEsol.

Summary:
The formation energy from raw total energies is -2.74 eV/atom.

Lattice parameters (Å, degrees): 5.3273 5.3783 7.7323 90.00 90.00 90.00
With the nearest neighbours (Å) after each atom.
Positions (direct):
1 Hf 0.0000 0.0000 0.0000  6 O 2.06-2.10
2 Hf 0.0000 0.0000 0.5000  6 O 2.06-2.10
3 Hf 0.5000 0.5000 0.0000  6 O 2.06-2.10
4 Hf 0.5000 0.5000 0.5000  6 O 2.06-2.10
5 Fe 0.9873 0.4620 0.7500  4 O 2.02-2.11
6 Fe 0.5127 0.9620 0.7500  4 O 2.02-2.11
7 Fe 0.4873 0.0380 0.2500  4 O 2.02-2.11
8 Fe 0.0127 0.5380 0.2500  4 O 2.02-2.11
9 O 0.1251 0.9132 0.2500  2 Fe 2.04-2.11, 2 Hf 2.10
10 O 0.1637 0.6677 0.5689  1 Fe 2.02, 2 Hf 2.06-2.08
11 O 0.1637 0.6677 0.9311  1 Fe 2.02, 2 Hf 2.06-2.08
12 O 0.3363 0.1677 0.5689  1 Fe 2.02, 2 Hf 2.06-2.08
13 O 0.3363 0.1677 0.9311  1 Fe 2.02, 2 Hf 2.06-2.08
14 O 0.3749 0.4132 0.2500  2 Fe 2.04-2.11, 2 Hf 2.10
15 O 0.6251 0.5868 0.7500  2 Fe 2.04-2.11, 2 Hf 2.10
16 O 0.6637 0.8323 0.0689  1 Fe 2.02, 2 Hf 2.06-2.08
17 O 0.6637 0.8323 0.4311  1 Fe 2.02, 2 Hf 2.06-2.08
18 O 0.8363 0.3323 0.0689  1 Fe 2.02, 2 Hf 2.06-2.08
19 O 0.8363 0.3323 0.4311  1 Fe 2.02, 2 Hf 2.06-2.08
20 O 0.8749 0.0868 0.7500  2 Fe 2.04-2.11, 2 Hf 2.10

=====

[3]
## MgCu2Te (SCAN)

Data for a crystal of MgCu2Te relaxed with PBEsol.

Summary:
As for the energy above the most stable polymorph in this dataset: 183 meV/atom. The formation energy from raw total energies is 0.28 eV/atom.

Lattice parameters (Å, degrees): 3.2401 3.2401 8.1892 78.59 78.59 60.00
With the nearest neighbours (Å) after each atom.
Positions (direct):
1 Cu 0.2511 0.2511 0.2467  3 Te 2.71, 3 Mg 2.75
2 Cu 0.7489 0.7489 0.7533  3 Te 2.71, 3 Mg 2.75
3 Mg 0.5000 0.5000 0.5000  6 Cu 2.75
4 Te 0.0000 0.0000 0.0000  6 Cu 2.71

=====

[4]
## HoSnRh (SCAN)

Data for a crystal of HoSnRh relaxed with PBEsol.

Summary:
For the energy relative to the elements, the calculation gives -1.029 eV/atom.

Lattice parameters (Å, degrees): 3.7140 7.4885 7.4885 120.00 90.00 90.00
With the nearest neighbours (Å) after each atom.
Positions (direct):
1 Ho 0.0000 0.0000 0.4050  5 Rh 2.94-3.03, 6 Sn 3.10-3.25
2 Ho 0.0000 0.4050 0.0000  5 Rh 2.94-3.03, 6 Sn 3.10-3.25
3 Ho 0.0000 0.5950 0.5950  5 Rh 2.94-3.03, 6 Sn 3.10-3.25
4 Sn 0.5000 0.7361 0.0000  4 Rh 2.71-2.79
5 Sn 0.5000 0.0000 0.7361  4 Rh 2.71-2.79
6 Sn 0.5000 0.2639 0.2639  4 Rh 2.71-2.79
7 Rh 0.5000 0.3333 0.6667  3 Sn 2.79, 6 Ho 2.94
8 Rh 0.5000 0.6667 0.3333  3 Sn 2.79, 6 Ho 2.94
9 Rh 0.0000 0.0000 0.0000  6 Sn 2.71, 3 Ho 3.03

=====

[5]
## Mg2Ag3 (SCAN)

Data for a crystal of Mg2Ag3 relaxed with PBEsol.

Summary:
As for the energy above the most stable polymorph in this dataset: 15 meV/atom. For the energy relative to the elements, the calculation gives -0.204 eV/atom.

Lattice parameters (Å, degrees): 5.2414 5.4916 7.3797 99.76 110.80 61.50
With the nearest neighbours (Å) after each atom.
Positions (direct):
1 Ag 0.7406 0.9122 0.2022  6 Mg 2.80-3.08, 5 Ag 2.82-3.07
2 Ag 0.4506 0.0878 0.7978  6 Mg 2.80-3.08, 5 Ag 2.82-3.07
3 Ag 0.7884 0.4122 0.2978  6 Mg 2.80-3.08, 5 Ag 2.82-3.07
4 Ag 0.9028 0.5878 0.7022  6 Mg 2.80-3.08, 5 Ag 2.82-3.07
5 Ag 0.0587 0.0000 0.0000  6 Mg 2.76-2.99, 4 Ag 2.83-3.07
6 Ag 0.3087 0.5000 0.5000  6 Mg 2.76-2.99, 4 Ag 2.83-3.07
7 Mg 0.2117 0.4319 0.1051  9 Ag 2.76-3.08, 2 Mg 3.07
8 Mg 0.5385 0.5681 0.8949  9 Ag 2.76-3.08, 2 Mg 3.07
9 Mg 0.3565 0.9319 0.3949  9 Ag 2.76-3.08, 2 Mg 3.07
10 Mg 0.8936 0.0681 0.6051  9 Ag 2.76-3.08, 2 Mg 3.07

=====

[6]
## CdGaAs2Br (SCAN)

Data for a crystal of CdGaAs2Br relaxed with PBEsol.

Summary:
The formation energy from raw total energies is 0.56 eV/atom.

Lattice parameters (Å, degrees): 5.0468 5.0468 5.7106 90.00 90.00 90.00
With the nearest neighbours (Å) after each atom.
Positions (direct):
1 As 0.0000 0.5000 0.0000  2 Cd 2.52
2 As 0.5000 0.0000 0.0000  2 Cd 2.52
3 Ga 0.5000 0.5000 0.5000  4 Br 3.57, 8 As 3.81
4 Br 0.0000 0.0000 0.5000  2 Cd 2.86
5 Cd 0.0000 0.0000 0.0000  4 As 2.52

=====

[7]
## SrMnTe2 (SCAN)

Data for a crystal of SrMnTe2 relaxed with PBEsol.

Summary:
As for the energy above the most stable polymorph in this dataset: 98 meV/atom. The formation energy from raw total energies is -1.06 eV/atom.

Lattice parameters (Å, degrees): 4.3897 4.3897 6.5043 90.00 90.00 90.00
With the nearest neighbours (Å) after each atom.
Positions (direct):
1 Sr 0.5000 0.5000 0.8789  6 Te 3.12-3.30
2 Te 0.0000 0.0000 0.8337  1 Mn 2.72
3 Te 0.5000 0.5000 0.3723  4 Mn 3.12, 2 Sr 3.21-3.30
4 Mn 0.0000 0.0000 0.4151  1 Te 2.72

=====

[8]
## Be2GaSeBr (SCAN)

Data for a crystal of Be2GaSeBr relaxed with PBEsol.

Summary:
The formation energy from raw total energies is 0.62 eV/atom.

Lattice parameters (Å, degrees): 4.2704 4.2704 5.4997 90.00 90.00 90.00
With the nearest neighbours (Å) after each atom.
Positions (direct):
1 Be 0.0000 0.5000 0.0000  2 Ga 2.14
2 Be 0.5000 0.0000 0.0000  2 Ga 2.14
3 Ga 0.0000 0.0000 0.0000  4 Be 2.14
4 Se 0.0000 0.0000 0.5000  2 Ga 2.75, 4 Br 3.02
5 Br 0.5000 0.5000 0.5000  4 Se 3.02

=====

[9]
## Mg2InSb (SCAN)

Data for a crystal of Mg2InSb relaxed with PBEsol.

Summary:
As for the energy above the most stable polymorph in this dataset: 11 meV/atom. The formation energy from raw total energies is -0.17 eV/atom.

Lattice parameters (Å, degrees): 4.5549 4.8090 5.4050 116.41 114.92 90.00
With the nearest neighbours (Å) after each atom.
Positions (direct):
1 Sb 0.5000 0.0000 0.0000  8 Mg 3.12-3.22, 4 In 3.31
2 Mg 0.7512 0.7512 0.5025  4 Sb 3.12-3.22, 4 In 3.13-3.21, 4 Mg 3.31
3 Mg 0.2488 0.2488 0.4975  4 Sb 3.12-3.22, 4 In 3.13-3.21, 4 Mg 3.31
4 In 0.0000 0.5000 0.0000  8 Mg 3.13-3.21, 4 Sb 3.31

=====

[10]
## TiReN3 (SCAN)

Data for a crystal of TiReN3 relaxed with PBEsol.

Summary:
The formation energy from raw total energies is -0.66 eV/atom.

Lattice parameters (Å, degrees): 5.0529 5.0529 5.5246 62.79 62.79 60.00
With the nearest neighbours (Å) after each atom.
Positions (direct):
1 Re 0.5027 0.5027 0.4920  6 N 1.94-2.11
2 Re 0.0027 0.0027 0.9920  6 N 1.94-2.11
3 N 0.4095 0.1148 0.7005  2 Re 1.94-2.11, 2 Ti 2.03-2.11
4 N 0.6148 0.9095 0.2005  2 Re 1.94-2.11, 2 Ti 2.03-2.11
5 N 0.9095 0.2752 0.2005  2 Re 1.94-2.11, 2 Ti 2.03-2.11
6 N 0.7752 0.4095 0.7005  2 Re 1.94-2.11, 2 Ti 2.03-2.11
7 N 0.2752 0.6148 0.2005  2 Re 1.94-2.11, 2 Ti 2.03-2.11
8 N 0.1148 0.7752 0.7005  2 Re 1.94-2.11, 2 Ti 2.03-2.11
9 Ti 0.1975 0.1975 0.4076  6 N 2.03-2.11
10 Ti 0.6975 0.6975 0.9076  6 N 2.03-2.11

=====

[11]
## KAsRh2 (SCAN)

Data for a crystal of KAsRh2 relaxed with PBEsol.

Summary:
For the energy relative to the elements, the calculation gives 0.444 eV/atom.

Lattice parameters (Å, degrees): 3.3909 4.3406 4.3406 90.00 90.00 90.00
With the nearest neighbours (Å) after each atom.
Positions (direct):
1 As 0.5000 0.5000 0.5000  8 Rh 2.75, 4 K 3.07
2 K 0.5000 0.0000 0.0000  8 Rh 2.75, 4 As 3.07
3 Rh 0.0000 0.0000 0.5000  4 As 2.75, 4 K 2.75, 4 Rh 3.07
4 Rh 0.0000 0.5000 0.0000  4 As 2.75, 4 K 2.75, 4 Rh 3.07

=====

[12]
## OsSeSBr2 (SCAN)

Data for a crystal of OsSeSBr2 relaxed with PBEsol.

Summary:
The formation energy from raw total energies is 0.84 eV/atom.

Lattice parameters (Å, degrees): 4.6749 4.9782 4.9782 90.00 90.00 90.00
With the nearest neighbours (Å) after each atom.
Positions (direct):
1 S 0.5000 0.5000 0.5000  8 Br 3.41, 4 Se 3.52
2 Os 0.0000 0.0000 0.0000  2 Se 2.34, 4 Br 2.49
3 Se 0.5000 0.0000 0.0000  2 Os 2.34
4 Br 0.0000 0.0000 0.5000  2 Os 2.49
5 Br 0.0000 0.5000 0.0000  2 Os 2.49

=====

no.,calculated volume (A^3/atom)
1,15.05
2,11.08
3,18.12
4,20.04
5,17.45
6,29.09
7,31.33
8,20.06
9,23.39
10,10.37
11,15.97
12,23.17